## Tb3Tm3MgS8 (PBE)

Data for a relaxed Tb3Tm3MgS8 crystal.

Cell and atoms, written as extended XYZ:
```
15
Lattice="7.715 0.000 0.000 -3.858 6.681 -0.024 0.000 -4.433 6.366" Properties=species:S:1:pos:R:3 pbc="T T T"
S 3.858 0.016 4.714
S 3.858 2.284 1.663
Tb -1.929 3.341 -0.012
Tb 1.929 3.341 -0.012
Tb 0.000 0.000 0.000
S -1.972 3.382 4.667
S 0.000 -0.035 4.680
S 0.000 2.233 1.628
S 5.830 -1.133 1.675
Tm -1.929 1.124 3.171
Mg 0.000 -2.216 3.183
S 1.973 3.382 4.668
Tm 1.929 1.124 3.171
S 1.885 -1.133 1.675
Tm 3.858 -2.216 3.183
```

Mass density in Mg/m³: 6.414
Formation energy from raw total energies in eV per atom: -1.97
Magnetic moment in μB/atom: 0.00
VASP energy in eV/atom: -6.0946
N(E_F) in states/eV/atom: 0.2194

## Tb3Y3MgS8 (PBE)

Data for a relaxed Tb3Y3MgS8 crystal.

Cell and atoms, written as extended XYZ:
```
15
Lattice="7.802 0.000 0.000 -3.901 6.757 -0.023 0.000 -4.483 6.390" Properties=species:S:1:pos:R:3 pbc="T T T"
S 0.000 -0.066 4.717
S 5.923 -1.161 1.661
S 2.021 3.436 4.705
S 3.901 2.340 1.649
S -2.021 3.436 4.705
Mg 0.000 -2.241 3.195
Tb 0.000 0.000 0.000
S 3.901 0.017 4.774
Tb 1.951 3.379 -0.012
Y 3.901 -2.241 3.195
S 1.880 -1.161 1.661
S 0.000 2.258 1.592
Tb -1.951 3.379 -0.012
Y -1.951 1.137 3.183
Y 1.951 1.137 3.183
```

Mass density in Mg/m³: 5.061
Formation energy from raw total energies in eV per atom: -1.98
Magnetic moment in μB/atom: 0.00
VASP energy in eV/atom: -6.5087
N(E_F) in states/eV/atom: 0.2553

## Tb4YMgS8 (PBE)

Data for a relaxed Tb4YMgS8 crystal.

Cell and atoms, written as extended XYZ:
```
14
Lattice="8.006 0.000 0.000 4.003 6.934 0.000 4.003 2.311 6.531" Properties=species:S:1:pos:R:3 pbc="T T T"
Tb 5.962 1.181 3.284
S 10.146 5.858 1.683
S 5.867 5.858 1.683
Tb 4.003 4.573 3.284
Y 4.003 2.311 6.477
Tb 8.006 4.623 0.818
S 8.006 6.999 4.879
S 8.006 2.152 1.683
Mg 8.006 4.623 5.716
Tb 2.045 1.181 3.284
S 5.949 3.434 4.879
S 12.010 6.934 4.734
S 4.003 2.311 1.701
S 10.064 3.434 4.879
```

Mass density in Mg/m³: 4.605
Formation energy from raw total energies in eV per atom: -1.92
Magnetic moment in μB/atom: 0.00
VASP energy in eV/atom: -6.1757
N(E_F) in states/eV/atom: 0.2510

## Tb2YMgS4 (PBE)

Data for a relaxed Tb2YMgS4 crystal.

Cell and atoms, written as extended XYZ:
```
8
Lattice="3.841 0.000 0.000 0.000 6.733 0.140 0.000 -2.329 6.335" Properties=species:S:1:pos:R:3 pbc="T T T"
Tb 1.921 -1.165 3.168
Mg 0.000 0.000 0.000
Y 1.921 3.366 0.070
S 0.000 -0.145 4.849
S 1.921 3.372 4.965
S 1.921 1.031 1.510
Tb 0.000 2.202 3.238
S 0.000 4.548 1.627
```

Mass density in Mg/m³: 5.626
Formation energy from raw total energies in eV per atom: -1.79
Magnetic moment in μB/atom: 0.00
VASP energy in eV/atom: -6.0229
N(E_F) in states/eV/atom: 0.4028

## Mg3TcS (PBE)

Data for a relaxed Mg3TcS crystal.

Cell and atoms, written as extended XYZ:
```
5
Lattice="4.743 0.000 0.000 0.000 4.743 0.000 0.000 0.000 4.743" Properties=species:S:1:pos:R:3 pbc="T T T"
Mg 0.000 0.000 2.371
S 0.000 0.000 0.000
Mg 0.000 2.371 0.000
Mg 2.371 0.000 0.000
Tc 2.371 2.371 2.371
```

Mass density in Mg/m³: 3.159
Formation energy from raw total energies in eV per atom: 0.41
Magnetic moment in μB/atom: 0.52
Energy above the lowest structure with this stoichiometry in meV per atom: 0
VASP energy in eV/atom: -3.4411
N(E_F) in states/eV/atom: 1.7532

## MgTcS3 (PBE)

Data for a relaxed MgTcS3 crystal.

Cell and atoms, written as extended XYZ:
```
5
Lattice="-2.961 -3.591 -0.246 0.797 -0.344 -4.579 3.510 -2.951 0.833" Properties=species:S:1:pos:R:3 pbc="T T T"
Tc 0.000 0.000 0.000
S -1.480 -1.795 -0.123
S 1.755 -1.476 0.417
Mg 0.673 -3.443 -1.996
S 0.399 -0.172 -2.290
```

Mass density in Mg/m³: 3.584
Formation energy from raw total energies in eV per atom: -0.01
Magnetic moment in μB/atom: 0.00
Energy above the lowest structure with this stoichiometry in meV per atom: 0
VASP energy in eV/atom: -4.8770
N(E_F) in states/eV/atom: 0.6703

## MgTc2S (PBE)

Data for a relaxed MgTc2S crystal.

Cell and atoms, written as extended XYZ:
```
4
Lattice="0.000 3.038 3.038 3.038 0.000 3.038 3.038 3.038 0.000" Properties=species:S:1:pos:R:3 pbc="T T T"
S 3.038 3.038 3.038
Tc 1.519 1.519 1.519
Mg 0.000 0.000 0.000
Tc 4.557 4.557 4.557
```

Mass density in Mg/m³: 7.473
Formation energy from raw total energies in eV per atom: 0.45
Magnetic moment in μB/atom: 0.00
Energy above the lowest structure with this stoichiometry in meV per atom: 283
VASP energy in eV/atom: -6.1655
N(E_F) in states/eV/atom: 1.1342

## MgTc2S4 (PBE)

Data for a relaxed MgTc2S4 crystal.

Cell and atoms, written as extended XYZ:
```
7
Lattice="-3.880 1.728 2.120 -1.801 -4.383 0.276 -0.207 -2.068 6.621" Properties=species:S:1:pos:R:3 pbc="T T T"
S -4.513 -2.984 4.803
S -1.376 -1.740 4.215
S -0.901 -2.192 0.138
S -1.940 0.864 1.060
Tc -3.583 -3.246 6.717
Tc -2.305 -1.478 2.300
Mg 0.000 0.000 0.000
```

Mass density in Mg/m³: 4.229
Formation energy from raw total energies in eV per atom: 0.20
Magnetic moment in μB/atom: 0.00
VASP energy in eV/atom: -5.3471
N(E_F) in states/eV/atom: 0.9770

## MgTc2S (PBE)

Data for a relaxed MgTc2S crystal.

Cell and atoms, written as extended XYZ:
```
8
Lattice="7.239 0.000 0.000 0.000 7.239 0.000 3.620 3.620 2.503" Properties=species:S:1:pos:R:3 pbc="T T T"
Mg 3.620 3.620 0.000
S 0.000 0.000 0.000
Tc 6.091 1.810 0.626
S 7.239 3.620 1.252
Mg 3.620 7.239 1.252
Tc 5.430 4.768 1.877
Tc 9.049 9.710 1.877
Tc 1.149 5.430 0.626
```

Mass density in Mg/m³: 6.389
Formation energy from raw total energies in eV per atom: 0.17
Magnetic moment in μB/atom: 0.00
Energy above the lowest structure with this stoichiometry in meV per atom: 0
VASP energy in eV/atom: -6.4484
N(E_F) in states/eV/atom: 0.4169

## MgTc3S (PBE)

Data for a relaxed MgTc3S crystal.

Cell and atoms, written as extended XYZ:
```
5
Lattice="4.383 0.000 0.000 0.000 4.383 0.000 0.000 0.000 4.383" Properties=species:S:1:pos:R:3 pbc="T T T"
Tc 0.000 2.191 0.000
S 0.000 0.000 0.000
Mg 2.191 2.191 2.191
Tc 2.191 0.000 0.000
Tc 0.000 0.000 2.191
```

Mass density in Mg/m³: 6.912
Formation energy from raw total energies in eV per atom: 0.29
Magnetic moment in μB/atom: 0.40
Energy above the lowest structure with this stoichiometry in meV per atom: 0
VASP energy in eV/atom: -7.0704
N(E_F) in states/eV/atom: 0.7561

## Mg3TcS (PBE)

Data for a relaxed Mg3TcS crystal.

Cell and atoms, written as extended XYZ:
```
5
Lattice="5.045 0.000 0.000 0.000 5.045 0.000 0.000 0.000 5.045" Properties=species:S:1:pos:R:3 pbc="T T T"
S 2.522 2.522 2.522
Mg 0.000 0.000 2.522
Mg 0.000 2.522 0.000
Tc 0.000 0.000 0.000
Mg 2.522 0.000 0.000
```

Mass density in Mg/m³: 2.625
Formation energy from raw total energies in eV per atom: 0.88
Magnetic moment in μB/atom: 0.30
Energy above the lowest structure with this stoichiometry in meV per atom: 462
VASP energy in eV/atom: -2.9789
N(E_F) in states/eV/atom: 1.4659

## MgTc3S (PBE)

Data for a relaxed MgTc3S crystal.

Cell and atoms, written as extended XYZ:
```
5
Lattice="-4.161 1.182 1.435 -1.220 -4.390 0.079 1.403 -0.312 4.325" Properties=species:S:1:pos:R:3 pbc="T T T"
Tc -2.080 0.591 0.718
S -1.989 -1.760 2.920
Tc 0.702 -0.156 2.163
Tc -0.610 -2.195 0.039
Mg 0.000 0.000 0.000
```

Mass density in Mg/m³: 6.146
Formation energy from raw total energies in eV per atom: 2.30
Magnetic moment in μB/atom: 0.62
Energy above the lowest structure with this stoichiometry in meV per atom: 2011
VASP energy in eV/atom: -5.0593
N(E_F) in states/eV/atom: 1.3022

- What is the mass density in the fourth record?
  5.626 Mg/m³

What did the third record say?
## Tb4YMgS8 (PBE)

Data for a relaxed Tb4YMgS8 crystal.

Cell and atoms, written as extended XYZ:
```
14
Lattice="8.006 0.000 0.000 4.003 6.934 0.000 4.003 2.311 6.531" Properties=species:S:1:pos:R:3 pbc="T T T"
Tb 5.962 1.181 3.284
S 10.146 5.858 1.683
S 5.867 5.858 1.683
Tb 4.003 4.573 3.284
Y 4.003 2.311 6.477
Tb 8.006 4.623 0.818
S 8.006 6.999 4.879
S 8.006 2.152 1.683
Mg 8.006 4.623 5.716
Tb 2.045 1.181 3.284
S 5.949 3.434 4.879
S 12.010 6.934 4.734
S 4.003 2.311 1.701
S 10.064 3.434 4.879
```

Mass density in Mg/m³: 4.605
Formation energy from raw total energies in eV per atom: -1.92
Magnetic moment in μB/atom: 0.00
VASP energy in eV/atom: -6.1757
N(E_F) in states/eV/atom: 0.2510

- What is the formula in the fourth record?
  Tb2YMgS4